(1)
First-principles (PBE-GGA) data for a relaxed structure of TlIn2Au, as listed in Alexandria via LeMat-Bulk.

Structure (CIF):
```
data_TlIn2Au
_cell_length_a 3.3489
_cell_length_b 5.5896
_cell_length_c 11.1541
_cell_angle_alpha 90.00
_cell_angle_beta 90.00
_cell_angle_gamma 90.00
_space_group_name_H-M_alt 'I m m m'
_space_group_IT_number 71
_space_group_name_Hall '-I 2 2'
loop_
_atom_site_label
_atom_site_type_symbol
_atom_site_fract_x
_atom_site_fract_y
_atom_site_fract_z
_atom_site_occupancy
Tl1 Tl 0.0000 0.0000 0.0000 1
In1 In 0.0000 0.5000 0.2143 1
Au1 Au 0.0000 0.0000 0.5000 1
```

## Properties
The formation energy is -0.029 eV per atom. The calculation puts the calculated volume at 26.10 A^3/atom.


(2)
First-principles (PBE-GGA) data for a relaxed structure of Tl7InAu2, as listed in Alexandria via LeMat-Bulk.

Structure (CIF):
```
data_Tl7InAu2
_cell_length_a 11.3242
_cell_length_b 15.0550
_cell_length_c 3.5528
_cell_angle_alpha 90.00
_cell_angle_beta 90.00
_cell_angle_gamma 90.00
_space_group_name_H-M_alt 'C m m m'
_space_group_IT_number 65
_space_group_name_Hall '-C 2 2'
loop_
_atom_site_label
_atom_site_type_symbol
_atom_site_fract_x
_atom_site_fract_y
_atom_site_fract_z
_atom_site_occupancy
Tl1 Tl 0.0000 0.0000 0.0000 1
Tl2 Tl 0.0000 0.2018 0.5000 1
Tl3 Tl 0.2431 0.1255 0.0000 1
In1 In 0.0000 0.5000 0.5000 1
Au1 Au 0.0000 0.3569 0.0000 1
```

## Properties
The formation energy is 0.028 eV per atom. The calculation puts the calculated volume at 30.28 A^3/atom.


(3)
First-principles (PBE-GGA) data for a relaxed structure of TlIn2Au, as listed in Alexandria via LeMat-Bulk.

Structure (CIF):
```
data_TlIn2Au
_cell_length_a 4.7117
_cell_length_b 4.7117
_cell_length_c 9.0561
_cell_angle_alpha 90.00
_cell_angle_beta 90.00
_cell_angle_gamma 90.00
_space_group_name_H-M_alt 'I 4/m m m'
_space_group_IT_number 139
_space_group_name_Hall '-I 4 2'
loop_
_atom_site_label
_atom_site_type_symbol
_atom_site_fract_x
_atom_site_fract_y
_atom_site_fract_z
_atom_site_occupancy
Tl1 Tl 0.0000 0.0000 0.0000 1
In1 In 0.0000 0.5000 0.2500 1
Au1 Au 0.0000 0.0000 0.5000 1
```

## Properties
The formation energy is 0.029 eV per atom. The calculation puts the calculated volume at 25.13 A^3/atom.


(4)
First-principles (PBE-GGA) data for a relaxed structure of TlInAu2, as listed in Alexandria via LeMat-Bulk.

Structure (CIF):
```
data_TlInAu2
_cell_length_a 3.8446
_cell_length_b 3.8446
_cell_length_c 23.4637
_cell_angle_alpha 90.00
_cell_angle_beta 90.00
_cell_angle_gamma 120.00
_space_group_name_H-M_alt 'R 3 m'
_space_group_IT_number 160
_space_group_name_Hall 'R 3 -2"'
loop_
_atom_site_label
_atom_site_type_symbol
_atom_site_fract_x
_atom_site_fract_y
_atom_site_fract_z
_atom_site_occupancy
Tl1 Tl 0.0000 0.0000 0.0000 1
In1 In 0.0000 0.0000 0.2274 1
Au1 Au 0.0000 0.0000 0.4886 1
Au2 Au 0.0000 0.0000 0.7483 1
```

## Properties
The formation energy is -0.012 eV per atom. The calculation puts the calculated volume at 25.03 A^3/atom.


(5)
First-principles (PBE-GGA) data for a relaxed structure of Tl3InAu3, as listed in Alexandria via LeMat-Bulk.

Structure (CIF):
```
data_Tl3InAu3
_cell_length_a 7.9011
_cell_length_b 7.9011
_cell_length_c 7.9011
_cell_angle_alpha 90.00
_cell_angle_beta 90.00
_cell_angle_gamma 90.00
_space_group_name_H-M_alt 'P m -3 n'
_space_group_IT_number 223
_space_group_name_Hall '-P 4n 2 3'
loop_
_atom_site_label
_atom_site_type_symbol
_atom_site_fract_x
_atom_site_fract_y
_atom_site_fract_z
_atom_site_occupancy
Tl1 Tl 0.0000 0.2500 0.5000 1
In1 In 0.0000 0.0000 0.0000 1
Au1 Au 0.0000 0.5000 0.2500 1
```

## Properties
The formation energy is 0.281 eV per atom. The calculation puts the calculated volume at 35.23 A^3/atom.


(6)
First-principles (PBE-GGA) data for a relaxed structure of TlInAu2, as listed in Alexandria via LeMat-Bulk.

Structure (CIF):
```
data_TlInAu2
_cell_length_a 7.4649
_cell_length_b 4.1813
_cell_length_c 6.7444
_cell_angle_alpha 90.00
_cell_angle_beta 109.68
_cell_angle_gamma 90.00
_space_group_name_H-M_alt 'C 1 2/m 1'
_space_group_IT_number 12
loop_
_space_group_symop_operation_xyz
'x,y,z'
'-x,-y,-z'
'-x,y,-z'
'x,-y,z'
'x+1/2,y+1/2,z'
'-x+1/2,-y+1/2,-z'
'-x+1/2,y+1/2,-z'
'x+1/2,-y+1/2,z'
loop_
_atom_site_label
_atom_site_type_symbol
_atom_site_fract_x
_atom_site_fract_y
_atom_site_fract_z
_atom_site_occupancy
Tl1 Tl 0.0000 0.0000 0.0000 1
In1 In 0.0000 0.5000 0.5000 1
Au1 Au 0.2427 0.0000 0.7297 1
```

## Properties
The formation energy is -0.079 eV per atom. The calculation puts the calculated volume at 24.78 A^3/atom.


> Which formula does entry 6 have?

TlInAu2